VASP calculation (GGA-PBE) on an optimized crystal structure of Ag2OsBr.

Summary:
N(E_F) = 2.5 states/eV/f.u.
E = -3.499 eV per atom
Formation energy from raw total energies = 1.15 eV per atom
ΔE to the lowest computed polymorph = 47.2 kJ per mole of atoms

Lattice parameters (Å, degrees): 4.2440 4.2440 8.2889 90.00 90.00 90.00
With the nearest neighbours (Å) after each atom.
Space group I-4m2 (No. 119)
Unique sites:
Ag 0.0000 0.0000 0.0000 x2  4 Br 2.97, 4 Ag 2.97, 4 Os 3.00
Ag 0.0000 0.5000 0.2500 x2  4 Ag 2.97, 4 Os 2.97, 4 Br 3.00
Os 0.0000 0.0000 0.5000 x2  4 Br 2.97, 8 Ag 2.97-3.00
Br 0.0000 0.5000 0.7500 x2  4 Os 2.97, 8 Ag 2.97-3.00